Entry 1:
The following is a PBE-GGA calculation of a relaxed structure of SiAs2BrO, from the Alexandria database.

CIF file:
```
data_SiAs2BrO
_chemical_formula_sum 'Si1 As2 Br1 O1'
_symmetry_space_group_name_H-M 'P 4/m m m'
_symmetry_Int_Tables_number 123
_symmetry_space_group_name_Hall '-P 4 2'
_cell_length_a 4.129
_cell_length_b 4.129
_cell_length_c 6.100
_cell_angle_alpha 90.00
_cell_angle_beta 90.00
_cell_angle_gamma 90.00
loop_
_atom_site_label
_atom_site_type_symbol
_atom_site_fract_x
_atom_site_fract_y
_atom_site_fract_z
_atom_site_occupancy
Si1 Si 0.000 0.000 0.000 1
As1 As 0.000 0.500 0.500 1
Br1 Br 0.500 0.500 0.000 1
O1 O 0.500 0.500 0.500 1
```

Summary:
DOS at the Fermi energy   0.461 states/eV/atom
Uncorrected energy   -0.28311 Ry/atom
Distance to the lowest polymorph of the same formula   0 meV/atom
Raw formation energy   0.4188 eV/atom

Entry 2:
The following is a PBE-GGA calculation of a relaxed structure of SnAs2BrO, from the Alexandria database.

CIF file:
```
data_SnAs2BrO
_chemical_formula_sum 'Sn1 As2 Br1 O1'
_symmetry_space_group_name_H-M 'P 4/m m m'
_symmetry_Int_Tables_number 123
_symmetry_space_group_name_Hall '-P 4 2'
_cell_length_a 5.376
_cell_length_b 5.376
_cell_length_c 5.665
_cell_angle_alpha 90.00
_cell_angle_beta 90.00
_cell_angle_gamma 90.00
loop_
_atom_site_label
_atom_site_type_symbol
_atom_site_fract_x
_atom_site_fract_y
_atom_site_fract_z
_atom_site_occupancy
Sn1 Sn 0.000 0.000 0.000 1
As1 As 0.000 0.500 0.000 1
Br1 Br 0.000 0.000 0.500 1
O1 O 0.500 0.500 0.500 1
```

Summary:
DOS at the Fermi energy   0.932 states/eV/atom
Uncorrected energy   -0.21473 Ry/atom
Distance to the lowest polymorph of the same formula   1010 meV/atom
Raw formation energy   1.0650 eV/atom

Entry 3:
The following is a PBE-GGA calculation of a relaxed structure of SnAsBrO2, from the Alexandria database.

CIF file:
```
data_SnAsBrO2
_chemical_formula_sum 'Sn2 As2 Br2 O4'
_symmetry_space_group_name_H-M 'P 1 21/m 1'
_symmetry_Int_Tables_number 11
_cell_length_a 6.918
_cell_length_b 4.091
_cell_length_c 8.082
_cell_angle_alpha 90.00
_cell_angle_beta 104.37
_cell_angle_gamma 90.00
loop_
_symmetry_equiv_pos_as_xyz
'x,y,z'
'-x,-y,-z'
'-x,y+1/2,-z'
'x,-y+1/2,z'
loop_
_atom_site_label
_atom_site_type_symbol
_atom_site_fract_x
_atom_site_fract_y
_atom_site_fract_z
_atom_site_occupancy
Sn1 Sn 0.043 0.250 0.310 1
As1 As 0.433 0.750 0.623 1
Br1 Br 0.211 0.250 0.891 1
O1 O 0.164 0.750 0.522 1
O2 O 0.468 0.250 0.570 1
```

Summary:
DOS at the Fermi energy   0.000 states/eV/atom
Uncorrected energy   -0.37517 Ry/atom
Distance to the lowest polymorph of the same formula   0 meV/atom
Raw formation energy   -1.0562 eV/atom

Entry 4:
The following is a PBE-GGA calculation of a relaxed structure of SnAsBr2O, from the Alexandria database.

CIF file:
```
data_SnAsBr2O
_chemical_formula_sum 'Sn1 As1 Br2 O1'
_symmetry_space_group_name_H-M 'P 4/m m m'
_symmetry_Int_Tables_number 123
_symmetry_space_group_name_Hall '-P 4 2'
_cell_length_a 5.541
_cell_length_b 5.541
_cell_length_c 5.614
_cell_angle_alpha 90.00
_cell_angle_beta 90.00
_cell_angle_gamma 90.00
loop_
_atom_site_label
_atom_site_type_symbol
_atom_site_fract_x
_atom_site_fract_y
_atom_site_fract_z
_atom_site_occupancy
Sn1 Sn 0.000 0.000 0.000 1
As1 As 0.000 0.000 0.500 1
Br1 Br 0.000 0.500 0.000 1
O1 O 0.500 0.500 0.500 1
```

Summary:
DOS at the Fermi energy   1.214 states/eV/atom
Uncorrected energy   -0.20380 Ry/atom
Distance to the lowest polymorph of the same formula   360 meV/atom
Raw formation energy   0.6185 eV/atom